# 1
The following is a PBE calculation of an optimized crystal structure of NaSrSn, from Alexandria via LeMat-Bulk.

a b c (Å): 6.6860 5.5847 10.9820
angles (deg): 90.00 103.16 90.00
With the nearest neighbours (Å) after each atom.
Atoms (fractional coordinates):
Na1 0.8494 0.5000 0.7163  2 Na 3.34, 4 Sr 3.61-3.62
Na2 0.3496 0.5000 0.7170  4 Sn 3.22-3.23, 2 Na 3.34, 2 Sr 3.46
Na3 0.8494 0.0000 0.2163  2 Na 3.34, 4 Sr 3.61-3.62
Na4 0.3496 0.0000 0.2170  4 Sn 3.22-3.23, 2 Na 3.34, 2 Sr 3.46
Sr1 0.0832 0.5000 0.4070  5 Sn 3.41-3.52, 3 Na 3.46-3.62
Sr2 0.6216 0.0000 0.5258  5 Sn 3.41-3.52, 3 Na 3.46-3.61
Sr3 0.6216 0.5000 0.0258  5 Sn 3.41-3.52, 3 Na 3.46-3.61
Sr4 0.0832 0.0000 0.9070  5 Sn 3.41-3.52, 3 Na 3.46-3.62
Sn1 0.5598 0.0000 0.8262  2 Na 3.23, 1 Sn 3.24, 5 Sr 3.41-3.52
Sn2 0.5598 0.5000 0.3262  2 Na 3.23, 1 Sn 3.24, 5 Sr 3.41-3.52
Sn3 0.1447 0.0000 0.6065  2 Na 3.22, 1 Sn 3.24, 5 Sr 3.41-3.52
Sn4 0.1447 0.5000 0.1065  2 Na 3.22, 1 Sn 3.24, 5 Sr 3.41-3.52

Computed properties:
ΔH_f (0 K) = -404 meV/atom
Calculated total energy = -2.74 eV per atom
DOS at the Fermi energy = 1.6 states/eV per cell
Relative energy among the computed polymorphs = 2 kJ/mol of formula units

---

# 2
The following is a PBE calculation of an optimized crystal structure of ZnCrNi2, from Alexandria via LeMat-Bulk.

a b c (Å): 2.5156 2.5156 7.3712
angles (deg): 90.00 90.00 90.03
With the nearest neighbours (Å) after each atom.
Atoms (fractional coordinates):
Ni1 0.0000 0.0000 0.0026  4 Cr 2.49-2.50, 8 Ni 2.50-2.52
Ni2 0.5000 0.5000 0.2415  8 Ni 2.50-2.52, 4 Zn 2.56
Cr1 0.5000 0.5000 0.7653  4 Ni 2.49-2.50, 4 Cr 2.52, 4 Zn 2.70
Zn1 0.0000 0.0000 0.4905  4 Zn 2.52, 4 Ni 2.56, 4 Cr 2.70

Computed properties:
ΔH_f (0 K) = 33 meV/atom
Calculated total energy = -5.58 eV per atom
DOS at the Fermi energy = 4.9 states/eV per cell

---

# 3
The following is a PBE calculation of an optimized crystal structure of TiNb2GaW, from Alexandria via LeMat-Bulk.

a b c (Å): 4.7104 4.5607 4.7104
angles (deg): 90.00 90.00 90.00
With the nearest neighbours (Å) after each atom.
Atoms (fractional coordinates):
Ga1 0.5000 0.5000 0.5000  8 Nb 3.28, 4 W 3.33
Nb1 0.5000 0.0000 0.0000  2 Ti 2.36
Nb2 0.0000 0.0000 0.5000  2 Ti 2.36
W1 0.0000 0.5000 0.0000  2 Ti 2.28
Ti1 0.0000 0.0000 0.0000  2 W 2.28, 4 Nb 2.36

Computed properties:
ΔH_f (0 K) = 1318 meV/atom
Calculated total energy = -7.48 eV per atom
DOS at the Fermi energy = 4.4 states/eV per cell